A relaxed USF2 crystal, computed with PBE.

Formation energy from raw total energies, meV per atom: -2531
VASP energy, eV/atom: -7.32
Volume, A^3/atom: 22.0

The structure in CIF format:
```
data_USF2
_chemical_formula_sum 'U2 S2 F4'
_cell_length_a 5.1824
_cell_length_b 9.0706
_cell_length_c 3.7512
_cell_angle_alpha 90.00
_cell_angle_beta 90.00
_cell_angle_gamma 90.00
_symmetry_space_group_name_H-M 'C m m m'
_symmetry_Int_Tables_number 65
_symmetry_space_group_name_Hall '-C 2 2'
loop_
_atom_site_label
_atom_site_fract_x
_atom_site_fract_y
_atom_site_fract_z
U1 0.0000 0.0000 0.0000
S1 0.0000 0.5000 0.0000
F1 0.0000 0.1451 0.5000
```

***

A relaxed U3S3F2 crystal, computed with PBE.

Formation energy from raw total energies, meV per atom: -1876
VASP energy, eV/atom: -8.12
Volume, A^3/atom: 18.1

The structure in CIF format:
```
data_U3S3F2
_chemical_formula_sum 'U6 S6 F4'
_cell_length_a 3.5592
_cell_length_b 4.0377
_cell_length_c 20.2018
_cell_angle_alpha 90.00
_cell_angle_beta 90.00
_cell_angle_gamma 90.00
_symmetry_space_group_name_H-M 'I m m m'
_symmetry_Int_Tables_number 71
_symmetry_space_group_name_Hall '-I 2 2'
loop_
_atom_site_label
_atom_site_fract_x
_atom_site_fract_y
_atom_site_fract_z
U1 0.0000 0.0000 0.0000
U2 0.0000 0.5000 0.1638
S1 0.0000 0.0000 0.5000
S2 0.0000 0.5000 0.3805
F1 0.0000 0.0000 0.2477
```

***

A relaxed U3S5F crystal, computed with PBE.

Formation energy from raw total energies, meV per atom: -1528
VASP energy, eV/atom: -7.79
Volume, A^3/atom: 24.9

The structure in CIF format:
```
data_U3S5F
_chemical_formula_sum 'U12 S20 F4'
_cell_length_a 11.6337
_cell_length_b 8.8823
_cell_length_c 9.1005
_cell_angle_alpha 90.00
_cell_angle_beta 107.30
_cell_angle_gamma 90.00
_symmetry_space_group_name_H-M 'C 1 2/m 1'
_symmetry_Int_Tables_number 12
_symmetry_space_group_name_Hall '-C 2y'
loop_
_atom_site_label
_atom_site_fract_x
_atom_site_fract_y
_atom_site_fract_z
U1 0.0000 0.0000 0.0000
U2 0.0000 0.0000 0.5000
U3 0.1606 0.5000 0.1576
U4 0.1984 0.5000 0.5973
S1 0.0000 0.3006 0.0000
S2 0.0185 0.5000 0.3350
S3 0.1909 0.1835 0.6263
S4 0.2390 0.0000 0.0723
F1 0.0663 0.0000 0.2793
```

***

A relaxed U2SF crystal, computed with PBE.

Formation energy from raw total energies, meV per atom: -1353
VASP energy, eV/atom: -8.50
Volume, A^3/atom: 22.0

The structure in CIF format:
```
data_U2SF
_chemical_formula_sum 'U6 S3 F3'
_cell_length_a 3.5446
_cell_length_b 3.5446
_cell_length_c 24.2411
_cell_angle_alpha 90.00
_cell_angle_beta 90.00
_cell_angle_gamma 120.00
_symmetry_space_group_name_H-M 'R -3 m'
_symmetry_Int_Tables_number 166
_symmetry_space_group_name_Hall '-R 3 2"'
loop_
_atom_site_label
_atom_site_fract_x
_atom_site_fract_y
_atom_site_fract_z
U1 0.0000 0.0000 0.0947
S1 0.0000 0.0000 0.5000
F1 0.0000 0.0000 0.0000
```

***

A relaxed US2F crystal, computed with PBE.

Formation energy from raw total energies, meV per atom: -1715
VASP energy, eV/atom: -7.07
Volume, A^3/atom: 25.1

The structure in CIF format:
```
data_US2F
_chemical_formula_sum 'U1 S2 F1'
_cell_length_a 3.5250
_cell_length_b 5.1666
_cell_length_c 6.3533
_cell_angle_alpha 111.22
_cell_angle_beta 90.32
_cell_angle_gamma 109.93
_symmetry_space_group_name_H-M 'P 1'
_symmetry_Int_Tables_number 1
_symmetry_space_group_name_Hall 'P 1'
loop_
_atom_site_label
_atom_site_fract_x
_atom_site_fract_y
_atom_site_fract_z
U1 0.0000 0.0000 0.0000
S1 0.2997 0.5987 0.0320
S2 0.4787 0.9635 0.6943
F1 0.6224 0.2404 0.2283
```

***

A relaxed US6F2 crystal, computed with PBE.

Formation energy from raw total energies, meV per atom: -1028
VASP energy, eV/atom: -5.45
Volume, A^3/atom: 22.6

The structure in CIF format:
```
data_US6F2
_chemical_formula_sum 'U1 S6 F2'
_cell_length_a 3.9981
_cell_length_b 6.3780
_cell_length_c 8.2317
_cell_angle_alpha 100.87
_cell_angle_beta 98.79
_cell_angle_gamma 90.60
_symmetry_space_group_name_H-M 'P -1'
_symmetry_Int_Tables_number 2
_symmetry_space_group_name_Hall '-P 1'
loop_
_atom_site_label
_atom_site_fract_x
_atom_site_fract_y
_atom_site_fract_z
U1 0.0000 0.0000 0.0000
S1 0.1060 0.4523 0.8125
S2 0.1065 0.8376 0.2977
S3 0.1092 0.3115 0.2942
F1 0.4975 0.8126 0.0017
```